Version A
Density functional theory data (PBE) for Nd4Sm4Tm3 after structural relaxation.

a = 18.4309 Å, b = 18.4309 Å, c = 3.5748 Å
α = 95.42°, β = 95.42°, γ = 17.68°
Sites, in units of the cell vectors:
Nd  0.0952  0.0952  0.0927
Nd  0.2783  0.2783  0.7815
Nd  0.7217  0.7217  0.2185
Nd  0.9048  0.9048  0.9073
Sm  0.1818  0.1818  0.6781
Sm  0.4567  0.4567  0.9584
Sm  0.5433  0.5433  0.0416
Sm  0.8182  0.8182  0.3219
Tm  0.0000  0.0000  0.5000
Tm  0.3705  0.3705  0.3748
Tm  0.6295  0.6295  0.6252

Properties
As for the density of states at the Fermi level: 18.7 states/eV per cell. As for the symmetry: C2/m (12).

***

Version B
Density functional theory data (PBE) for Nd4Sm4Tm3 after structural relaxation.

a = 3.5589 Å, b = 5.6984 Å, c = 18.3077 Å
α = 81.10°, β = 84.43°, γ = 89.99°
Sites, in units of the cell vectors:
Nd  0.0459  0.0476  0.4077
Nd  0.1790  0.6798  0.1409
Nd  0.8210  0.3202  0.8591
Nd  0.9541  0.9524  0.5923
Sm  0.0899  0.5914  0.3195
Sm  0.2327  0.2326  0.0349
Sm  0.7673  0.7674  0.9651
Sm  0.9101  0.4086  0.6805
Tm  0.3648  0.8636  0.7717
Tm  0.5000  0.5000  0.5000
Tm  0.6352  0.1364  0.2283

Properties
As for the density of states at the Fermi level: 19.2 states/eV per cell. As for the symmetry: P-1 (2).

***

Most stable to least stable, the ends of the list are version A and version B.

***

Version A
Density functional theory data (PBE) for Nd5Sm4Tm after structural relaxation.

a = 3.6404 Å, b = 9.6170 Å, c = 10.3212 Å
α = 105.52°, β = 90.11°, γ = 100.84°
Sites, in units of the cell vectors:
Nd  0.0000  0.0000  0.0000
Nd  0.1993  0.3998  0.1000
Nd  0.4003  0.8023  0.6966
Nd  0.5997  0.1977  0.3034
Nd  0.8007  0.6002  0.9000
Sm  0.2003  0.3990  0.5999
Sm  0.4008  0.8011  0.2043
Sm  0.5992  0.1989  0.7957
Sm  0.7997  0.6010  0.4001
Tm  0.0000  0.0000  0.5000

Properties
As for the density of states at the Fermi level: 14.1 states/eV per cell. As for the symmetry: P-1 (2).

***

Version B
Density functional theory data (PBE) for Nd5Sm4Tm after structural relaxation.

a = 8.1038 Å, b = 8.1038 Å, c = 8.1038 Å
α = 98.44°, β = 98.44°, γ = 134.94°
Sites, in units of the cell vectors:
Nd  0.0000  0.0000  0.0000
Nd  0.5350  0.5350  0.6226
Nd  0.5350  0.9125  0.0000
Nd  0.9125  0.5350  0.0000
Nd  0.9125  0.9125  0.3774
Sm  0.2544  0.5786  0.3242
Sm  0.2544  0.9303  0.6758
Sm  0.5786  0.2544  0.3242
Sm  0.9303  0.2544  0.6758
Tm  0.4658  0.4658  0.0000

Properties
As for the density of states at the Fermi level: 15.0 states/eV per cell. As for the symmetry: I4mm (107).

***

Most stable to least stable, the ends of the list are version A and version B.

***

Version A
Density functional theory data (PBE) for Nd4SmTm5 after structural relaxation.

a = 8.7196 Å, b = 8.7196 Å, c = 11.2927 Å
α = 90.20°, β = 90.20°, γ = 23.29°
Sites, in units of the cell vectors:
Nd  0.0330  0.0330  0.2479
Nd  0.3417  0.3417  0.2501
Nd  0.6583  0.6583  0.7499
Nd  0.9670  0.9670  0.7521
Sm  0.5000  0.5000  0.5000
Tm  0.1726  0.1726  0.0449
Tm  0.1742  0.1742  0.4506
Tm  0.5000  0.5000  0.0000
Tm  0.8258  0.8258  0.5494
Tm  0.8274  0.8274  0.9551

Properties
As for the density of states at the Fermi level: 13.9 states/eV per cell. As for the symmetry: C2/m (12).

***

Version B
Density functional theory data (PBE) for Nd4SmTm5 after structural relaxation.

a = 3.5985 Å, b = 3.5985 Å, c = 24.9755 Å
α = 90.00°, β = 90.00°, γ = 90.00°
Sites, in units of the cell vectors:
Nd  0.0000  0.0000  0.1003
Nd  0.0000  0.0000  0.3006
Nd  0.0000  0.0000  0.6994
Nd  0.0000  0.0000  0.8997
Sm  0.0000  0.0000  0.5000
Tm  0.5000  0.5000  0.0000
Tm  0.5000  0.5000  0.2006
Tm  0.5000  0.5000  0.4010
Tm  0.5000  0.5000  0.5990
Tm  0.5000  0.5000  0.7994

Properties
As for the density of states at the Fermi level: 14.1 states/eV per cell. As for the symmetry: P4/mmm (123).

***

Most stable to least stable, the ends of the list are version B and version A.